The following is a PBE calculation of Ti4TlO8 after structural relaxation, from Alexandria.

Summary:
Symmetry = R-3m
Density of states at the Fermi level = 0.49 states/eV/atom
ΔE_f (raw) = -2694 meV/atom
Size of the total moment = 0.08 μB/atom

CIF file:
```
data_Ti4TlO8
_cell_length_a 7.6685
_cell_length_b 7.6685
_cell_length_c 7.6685
_cell_angle_alpha 45.93
_cell_angle_beta 45.93
_cell_angle_gamma 45.93
_space_group_name_H-M_alt 'P 1'
_space_group_IT_number 1
loop_
_space_group_symop_operation_xyz
'x,y,z'
loop_
_atom_site_label
_atom_site_fract_x
_atom_site_fract_y
_atom_site_fract_z
Ti1 0.0000 0.0000 0.0000
Ti2 0.0000 0.5000 0.5000
Ti3 0.5000 0.0000 0.5000
Ti4 0.5000 0.5000 0.0000
Tl1 0.5000 0.5000 0.5000
O1 0.2170 0.2170 0.7149
O2 0.2170 0.7149 0.2170
O3 0.2852 0.2852 0.2852
O4 0.2851 0.7830 0.7830
O5 0.7149 0.2170 0.2170
O6 0.7148 0.7148 0.7148
O7 0.7830 0.2851 0.7830
O8 0.7830 0.7830 0.2851
```



The following is a PBE calculation of CrRePb2 after structural relaxation, from Alexandria.

Summary:
Symmetry = P4mm
Density of states at the Fermi level = 0.94 states/eV/atom
Energy relative to the lowest polymorph listed for this composition = 0.0 meV/atom
Size of the total moment = 0.07 μB/atom

CIF file:
```
data_CrRePb2
_cell_length_a 3.1444
_cell_length_b 3.1444
_cell_length_c 8.6816
_cell_angle_alpha 90.00
_cell_angle_beta 90.00
_cell_angle_gamma 90.00
_space_group_name_H-M_alt 'P 1'
_space_group_IT_number 1
loop_
_space_group_symop_operation_xyz
'x,y,z'
loop_
_atom_site_label
_atom_site_fract_x
_atom_site_fract_y
_atom_site_fract_z
Cr1 0.0000 0.0000 0.0000
Re1 0.5000 0.5000 0.8672
Pb1 0.0000 0.0000 0.6161
Pb2 0.5000 0.5000 0.2385
```



The following is a PBE calculation of NaSc2BeBi after structural relaxation, from Alexandria.

Summary:
Symmetry = P4/mmm
Density of states at the Fermi level = 1.03 states/eV/atom
Calculated total energy = -4.0900 eV per atom
Size of the total moment = 0.00 μB/atom

CIF file:
```
data_NaSc2BeBi
_cell_length_a 4.9825
_cell_length_b 4.9825
_cell_length_c 4.9780
_cell_angle_alpha 90.00
_cell_angle_beta 90.00
_cell_angle_gamma 90.00
_space_group_name_H-M_alt 'P 1'
_space_group_IT_number 1
loop_
_space_group_symop_operation_xyz
'x,y,z'
loop_
_atom_site_label
_atom_site_fract_x
_atom_site_fract_y
_atom_site_fract_z
Na1 0.0000 0.0000 0.0000
Sc1 0.0000 0.5000 0.5000
Sc2 0.5000 0.0000 0.5000
Be1 0.5000 0.5000 0.5000
Bi1 0.5000 0.5000 0.0000
```



The following is a PBE calculation of Cs2Te3Pb2 after structural relaxation, from Alexandria.

Summary:
Symmetry = C2/c
Energy relative to the lowest polymorph listed for this composition = 0.0 meV/atom
ΔE_f (raw) = -684 meV/atom
Size of the total moment = 0.00 μB/atom

CIF file:
```
data_Cs2Te3Pb2
_cell_length_a 13.6063
_cell_length_b 13.6063
_cell_length_c 8.1678
_cell_angle_alpha 107.31
_cell_angle_beta 107.31
_cell_angle_gamma 91.58
_space_group_name_H-M_alt 'P 1'
_space_group_IT_number 1
loop_
_space_group_symop_operation_xyz
'x,y,z'
loop_
_atom_site_label
_atom_site_fract_x
_atom_site_fract_y
_atom_site_fract_z
Cs1 0.0633 0.9367 0.7500
Cs2 0.2233 0.7767 0.2500
Cs3 0.2999 0.4745 0.8506
Cs4 0.4745 0.2999 0.3506
Cs5 0.5255 0.7001 0.6494
Cs6 0.7001 0.5255 0.1494
Cs7 0.7767 0.2233 0.7500
Cs8 0.9367 0.0633 0.2500
Te1 0.0796 0.6437 0.7550
Te2 0.0811 0.2380 0.7515
Te3 0.2380 0.0811 0.2515
Te4 0.2711 0.4985 0.3406
Te5 0.3563 0.9204 0.7450
Te6 0.4985 0.2711 0.8406
Te7 0.5015 0.7289 0.1594
Te8 0.6437 0.0796 0.2550
Te9 0.7289 0.5015 0.6594
Te10 0.7620 0.9189 0.7485
Te11 0.9189 0.7620 0.2485
Te12 0.9204 0.3563 0.2450
Pb1 0.0526 0.5688 0.3491
Pb2 0.1334 0.2869 0.1644
Pb3 0.2869 0.1334 0.6644
Pb4 0.4312 0.9474 0.1509
Pb5 0.5688 0.0526 0.8491
Pb6 0.7131 0.8666 0.3356
Pb7 0.8666 0.7131 0.8356
Pb8 0.9474 0.4312 0.6509
```



The following is a PBE calculation of Ni2PBr after structural relaxation, from Alexandria.

Summary:
Symmetry = I-42d
Density of states at the Fermi level = 0.66 states/eV/atom
Energy relative to the lowest polymorph listed for this composition = 214.1 meV/atom
ΔE_f (raw) = -51 meV/atom
Size of the total moment = 0.00 μB/atom

CIF file:
```
data_Ni2PBr
_cell_length_a 6.0919
_cell_length_b 6.0919
_cell_length_c 6.0919
_cell_angle_alpha 125.18
_cell_angle_beta 125.18
_cell_angle_gamma 81.24
_space_group_name_H-M_alt 'P 1'
_space_group_IT_number 1
loop_
_space_group_symop_operation_xyz
'x,y,z'
loop_
_atom_site_label
_atom_site_fract_x
_atom_site_fract_y
_atom_site_fract_z
Ni1 0.0793 0.6250 0.9543
Ni2 0.3750 0.3293 0.4543
Ni3 0.6707 0.1250 0.0457
Ni4 0.8750 0.9207 0.5457
P1 0.0000 0.0000 0.0000
P2 0.7500 0.2500 0.5000
Br1 0.2500 0.7500 0.5000
Br2 0.5000 0.5000 0.0000
```



The following is a PBE calculation of LiTm2Hg6 after structural relaxation, from Alexandria.

Summary:
Symmetry = C2/m
Density of states at the Fermi level = 0.45 states/eV/atom
Energy relative to the lowest polymorph listed for this composition = 37.3 meV/atom
Size of the total moment = 0.00 μB/atom

CIF file:
```
data_LiTm2Hg6
_cell_length_a 5.9628
_cell_length_b 5.9628
_cell_length_c 5.9116
_cell_angle_alpha 90.89
_cell_angle_beta 90.89
_cell_angle_gamma 90.76
_space_group_name_H-M_alt 'P 1'
_space_group_IT_number 1
loop_
_space_group_symop_operation_xyz
'x,y,z'
loop_
_atom_site_label
_atom_site_fract_x
_atom_site_fract_y
_atom_site_fract_z
Li1 0.0000 0.0000 0.0000
Tm1 0.3277 0.3277 0.3260
Tm2 0.6723 0.6723 0.6740
Hg1 0.1655 0.4993 0.8331
Hg2 0.1651 0.8349 0.5000
Hg3 0.4993 0.1655 0.8331
Hg4 0.5007 0.8345 0.1669
Hg5 0.8349 0.1651 0.5000
Hg6 0.8345 0.5007 0.1669
```